Density functional theory data (GGA-PBE) for an optimized crystal structure of CaMg14Co.

a b c (Å): 10.3277 6.2395 11.2557
angles (deg): 90.00 90.00 90.00
Last column: nearest neighbours and their distance in Å.
Space group Amm2 (No. 38)
Unique sites:
Ca 0.0000 0.0000 0.0000  2 Co 3.14, 10 Mg 3.19-3.23
Mg 0.0000 0.2365 0.2548  1 Co 2.81, 5 Mg 2.95-3.06
Mg 0.2104 0.0000 0.6312  1 Co 2.85, 6 Mg 3.06-3.17
Mg 0.2470 0.2438 0.3962  9 Mg 3.01-3.28, 1 Co 3.08, 1 Ca 3.23
Mg 0.2623 0.0000 0.1502  11 Mg 3.07-3.30, 1 Ca 3.19
Mg 0.5000 0.0000 0.4849  12 Mg 3.12-3.41
Mg 0.5000 0.0000 0.9805  12 Mg 3.11-3.26
Mg 0.5000 0.2447 0.7333  10 Mg 3.05-3.26
Co 0.0000 0.0000 0.4670  8 Mg 2.81-3.08, 2 Ca 3.14

Calculated values
- Energy of formation from the pure elements: 0.061 eV per atom
- Calculated volume: 725.3 Å³/cell
- Raw total energy: -60.90 eV/cell


Density functional theory data (GGA-PBE) for an optimized crystal structure of TiAl2FeRh.

a b c (Å): 4.5469 4.5469 4.6539
angles (deg): 90.00 90.00 90.00
Last column: nearest neighbours and their distance in Å.
Space group P4/mmm (No. 123)
Unique sites:
Ti 0.0000 0.0000 0.0000  2 Rh 2.33
Al 0.0000 0.5000 0.5000  2 Rh 2.27
Fe 0.5000 0.5000 0.0000  4 Ti 3.22, 8 Al 3.25
Rh 0.0000 0.0000 0.5000  4 Al 2.27, 2 Ti 2.33

Calculated values
- Energy of formation from the pure elements: 0.577 eV per atom
- Calculated volume: 96.2 Å³/cell
- Raw total energy: -28.31 eV/cell


Density functional theory data (GGA-PBE) for an optimized crystal structure of Ac4AgOs.

a b c (Å): 9.2405 13.8653 6.7363
angles (deg): 90.00 105.62 90.00
Last column: nearest neighbours and their distance in Å.
Space group C2/c (No. 15)
Unique sites:
Ac 0.1061 0.1693 0.0389  2 Os 3.04
Ac 0.2114 0.4230 0.4104  2 Os 3.19-3.31, 2 Ag 3.42-3.45
Ag 0.0000 0.3749 0.7500  8 Ac 3.42-3.59
Os 0.0000 0.0003 0.2500  8 Ac 3.04-3.31, 2 Os 3.37

Calculated values
- Energy of formation from the pure elements: -0.097 eV per atom
- Calculated volume: 831.2 Å³/cell
- Raw total energy: -124.38 eV/cell


Density functional theory data (GGA-PBE) for an optimized crystal structure of MnIr2Ru6.

a b c (Å): 14.1411 2.7270 6.6840
angles (deg): 90.00 103.59 90.00
Last column: nearest neighbours and their distance in Å.
Space group C2/m (No. 12)
Unique sites:
Mn 0.0000 0.0000 0.0000  4 Ir 2.65, 6 Ru 2.67-2.76, 2 Mn 2.73
Ir 0.0906 0.5000 0.3294  2 Mn 2.65, 8 Ru 2.69-2.75, 2 Ir 2.73
Ru 0.0741 0.0000 0.6671  1 Mn 2.67, 7 Ru 2.68-2.73, 4 Ir 2.69-2.70
Ru 0.1699 0.5000 0.0010  9 Ru 2.65-2.73, 1 Ir 2.69, 2 Mn 2.76
Ru 0.2399 0.5000 0.6637  9 Ru 2.65-2.73, 3 Ir 2.69-2.75

Calculated values
- Energy of formation from the pure elements: -0.013 eV per atom
- Calculated volume: 250.5 Å³/cell
- Raw total energy: -165.32 eV/cell


Density functional theory data (GGA-PBE) for an optimized crystal structure of UMn2GaH6.

a b c (Å): 4.2507 4.2507 15.5611
angles (deg): 90.00 90.00 120.00
Last column: nearest neighbours and their distance in Å.
Space group R-3m (No. 166, hexagonal axes)
Unique sites:
U 0.0000 0.0000 0.0000  12 H 2.30
Mn 0.0000 0.0000 0.2064  3 H 1.62
Ga 0.0000 0.0000 0.5000  6 H 2.12
H 0.0077 0.5039 0.9435  1 Mn 1.62, 1 H 1.76

Calculated values
- Calculated volume: 243.5 Å³/cell
- Raw total energy: -160.98 eV/cell


Density functional theory data (GGA-PBE) for an optimized crystal structure of Pr12Y17.

a b c (Å): 12.5324 12.5324 12.5324
angles (deg): 90.00 90.00 90.00
Last column: nearest neighbours and their distance in Å.
Space group I-43m (No. 217)
Unique sites:
Pr 0.0914 0.0914 0.7172  3 Pr 3.24-3.39, 5 Y 3.42-3.63
Y 0.0000 0.0000 0.0000  4 Y 3.79, 12 Pr 3.90
Y 0.0478 0.3616 0.6384  5 Pr 3.42-3.63, 7 Y 3.54-3.82
Y 0.1746 0.1746 0.1746  4 Y 3.54-3.79, 6 Pr 3.75

Calculated values
- Energy of formation from the pure elements: 0.159 eV per atom
- Calculated volume: 1968.4 Å³/cell
- Raw total energy: -325.24 eV/cell